Run a
Crystalline LiCrSe3 at its relaxed geometry, computed with PBE-GGA.

POSCAR file:
```
LiCrSe3
1.0
-5.4930 -1.8768 2.5088
5.9948 -4.8309 3.7545
1.7532 7.5203 3.7073
Li Cr Se
4 4 12
Direct
0.8717 0.4749 0.2851 Li
0.3717 0.2851 0.4749 Li
0.6283 0.7149 0.5251 Li
0.1283 0.5251 0.7149 Li
0.2500 0.7892 0.2108 Cr
0.2500 0.0624 0.9376 Cr
0.7500 0.2108 0.7892 Cr
0.7500 0.9376 0.0624 Cr
0.6829 0.2082 0.0596 Se
0.1829 0.0596 0.2082 Se
0.8171 0.9404 0.7918 Se
0.3171 0.7918 0.9404 Se
0.7883 0.2395 0.5056 Se
0.2883 0.5056 0.2395 Se
0.7117 0.4944 0.7605 Se
0.2117 0.7605 0.4944 Se
0.8093 0.6600 0.0629 Se
0.3093 0.0629 0.6600 Se
0.6907 0.9371 0.3400 Se
0.1907 0.3400 0.9371 Se
```

Output
* calculated volume: 104.29 Å³/f.u.
* crystal system: monoclinic

=====

Run b
Crystalline LiCrSe3 at its relaxed geometry, computed with PBE-GGA.

POSCAR file:
```
LiCrSe3
1.0
4.5570 0.0000 0.0000
0.0000 4.5570 0.0000
0.0000 0.0000 6.0330
Cr Se Li
1 3 1
Direct
0.0000 0.0000 0.1833 Cr
0.0000 0.0000 0.8190 Se
0.5000 0.0000 0.3378 Se
0.0000 0.5000 0.3378 Se
0.5000 0.5000 0.5858 Li
```

Output
* calculated volume: 125.28 Å³/f.u.
* crystal system: tetragonal

=====

Of the structures shown above, run a is the most stable.